1.
Computed, not measured: a geometry-optimized KSeSN2 structure at the PBE level of DFT.

a b c (Å): 4.8147 4.8147 6.1249
angles (deg): 90.00 90.00 90.00
Closest atoms and distances in Å follow each position.
Fractional positions:
K  0.0000  0.0000  0.0000  4 N 2.41
Se  0.5000  0.5000  0.5000  4 S 3.40
S  0.0000  0.0000  0.5000  2 K 3.06, 4 Se 3.40
N  0.0000  0.5000  0.0000  2 K 2.41
N  0.5000  0.0000  0.0000  2 K 2.41

Values from the calculation:
* raw formation energy: 2351 meV per atom
* electronic total energy: -13.605 eV for the cell shown
* relative energy among the computed polymorphs: 972 meV/atom
* space group: P4/mmm (123)
* mass density: 2.083 g/cm³

=====

2.
Computed, not measured: a geometry-optimized Sr6Te4P structure at the PBE level of DFT.

a b c (Å): 9.3123 9.3123 9.3123
angles (deg): 89.73 89.73 89.73
Closest atoms and distances in Å follow each position.
Fractional positions:
Sr  0.0542  0.9263  0.7010  1 P 2.91
Sr  0.0737  0.2990  0.9458  1 P 2.91
Sr  0.2010  0.4263  0.5542  1 P 2.91
Sr  0.2990  0.9458  0.0737  1 P 2.91
Sr  0.4263  0.5542  0.2010  1 P 2.91
Sr  0.4458  0.7990  0.5737  1 P 2.91
Sr  0.5542  0.2010  0.4263  1 P 2.91
Sr  0.5737  0.4458  0.7990  1 P 2.91
Sr  0.7010  0.0542  0.9263  1 P 2.91
Sr  0.7990  0.5737  0.4458  1 P 2.91
Sr  0.9263  0.7010  0.0542  1 P 2.91
Sr  0.9458  0.0737  0.2990  1 P 2.91
Te  0.1242  0.7500  0.3758  8 Sr 3.51-3.72
Te  0.2500  0.2500  0.2500  6 Sr 3.31
Te  0.2500  0.6242  0.8758  8 Sr 3.51-3.72
Te  0.3758  0.1242  0.7500  8 Sr 3.51-3.72
Te  0.6242  0.8758  0.2500  8 Sr 3.51-3.72
Te  0.7500  0.3758  0.1242  8 Sr 3.51-3.72
Te  0.7500  0.7500  0.7500  6 Sr 3.31
Te  0.8758  0.2500  0.6242  8 Sr 3.51-3.72
P  0.0000  0.0000  0.0000  6 Sr 2.91
P  0.5000  0.5000  0.5000  6 Sr 2.91

Values from the calculation:
* raw formation energy: -1397 meV per atom
* electronic total energy: -86.862 eV for the cell shown
* space group: R-3c (167)
* mass density: 4.389 g/cm³